The following is a GGA-PBE calculation of crystalline ScTeIr2 at its relaxed geometry, from the Alexandria database.

Summary:
Formation energy from raw total energies, eV per atom: -0.148
Total magnetization, μB/cell: 0.00

Lattice parameters (Å, degrees): 6.4397 6.4397 6.4397 36.85 36.85 36.85
Last column: nearest neighbours and their distance in Å.
Fractional coordinates of all 4 atoms:
Ir  0.9796  0.9796  0.9796  3 Ir 2.50
Ir  0.2655  0.2655  0.2655  3 Ir 2.50, 3 Sc 2.72
Sc  0.5226  0.5226  0.5226  3 Ir 2.72
Te  0.7323  0.7323  0.7323  3 Ir 2.81